# 1
LaNbC3: relaxed, GGA-PBE.

## Properties
D(E_F) = 5.607 states/eV/cell
distance to the lowest polymorph of the same formula = 0 meV/atom
E_tot = -7.84 eV per atom
DFT formation energy = 0.69 eV per atom
space-group type = Pm-3m (221)

```
5
Lattice="4.232 0.000 0.000 0.000 4.232 0.000 0.000 0.000 4.232" Properties=species:S:1:pos:R:3 pbc="T T T"
La 0.000 0.000 0.000
Nb 2.116 2.116 2.116
C 0.000 2.116 2.116
C 2.116 0.000 2.116
C 2.116 2.116 0.000
```


# 2
LaNbC2: relaxed, GGA-PBE.

## Properties
D(E_F) = 0.000 states/eV/cell
distance to the lowest polymorph of the same formula = 81 meV/atom
E_tot = -8.38 eV per atom
DFT formation energy = -0.02 eV per atom
space-group type = I-42d (122)

```
16
Lattice="5.911 0.000 0.000 0.000 5.911 0.000 0.000 0.000 7.977" Properties=species:S:1:pos:R:3 pbc="T T T"
La 0.000 0.000 0.000
La 0.000 2.956 1.994
La 2.956 0.000 5.983
La 2.956 2.956 3.989
Nb 0.000 0.000 3.989
Nb 0.000 2.956 5.983
Nb 2.956 0.000 1.994
Nb 2.956 2.956 0.000
C 1.061 1.478 4.986
C 1.478 4.017 6.980
C 1.478 4.850 2.991
C 1.895 1.478 0.997
C 4.017 4.433 0.997
C 4.433 1.061 2.991
C 4.433 1.895 6.980
C 4.850 4.433 4.986
```


# 3
LaNbPb2C: relaxed, GGA-PBE.

## Properties
D(E_F) = 8.414 states/eV/cell
E_tot = -4.50 eV per atom
DFT formation energy = 1.82 eV per atom
space-group type = P4/mmm (123)

```
5
Lattice="6.070 0.000 0.000 0.000 6.070 0.000 0.000 0.000 4.098" Properties=species:S:1:pos:R:3 pbc="T T T"
La 0.000 0.000 0.000
Nb 3.035 3.035 2.049
Pb 0.000 3.035 0.000
Pb 3.035 0.000 0.000
C 0.000 0.000 2.049
```


# 4
LaNb2ZnC: relaxed, GGA-PBE.

## Properties
D(E_F) = 4.951 states/eV/cell
E_tot = -4.09 eV per atom
DFT formation energy = 3.02 eV per atom
space-group type = P4/mmm (123)

```
5
Lattice="4.944 0.000 0.000 0.000 4.944 0.000 0.000 0.000 5.353" Properties=species:S:1:pos:R:3 pbc="T T T"
La 0.000 0.000 0.000
Nb 0.000 2.472 0.000
Nb 2.472 0.000 0.000
Zn 0.000 0.000 2.677
C 2.472 2.472 2.677
```


# 5
La2NdC4: relaxed, GGA-PBE.

## Properties
D(E_F) = 7.016 states/eV/cell
E_tot = -7.47 eV per atom
DFT formation energy = -0.11 eV per atom
space-group type = Ibam (72)

```
14
Lattice="-4.535 5.021 2.908 4.535 -5.021 2.908 4.535 5.021 -2.908" Properties=species:S:1:pos:R:3 pbc="T T T"
La 1.298 1.471 0.000
La 5.833 3.549 0.000
La -1.298 1.471 2.908
La 3.238 3.549 2.908
Nd 4.535 0.000 1.454
Nd 0.000 5.021 1.454
C 6.531 0.949 0.000
C 7.817 1.315 0.000
C 3.281 3.706 0.000
C 1.996 4.072 0.000
C 2.540 0.949 2.908
C 1.254 1.315 2.908
C -3.281 3.706 2.908
C -1.996 4.072 2.908
```


# 6
LaNd2C: relaxed, GGA-PBE.

## Properties
D(E_F) = 5.984 states/eV/cell
distance to the lowest polymorph of the same formula = 0 meV/atom
E_tot = -5.95 eV per atom
DFT formation energy = -0.03 eV per atom
space-group type = P-3m1 (164)

```
4
Lattice="3.708 0.000 0.000 -1.854 3.211 0.000 0.000 0.000 9.618" Properties=species:S:1:pos:R:3 pbc="T T T"
La 0.000 0.000 0.000
Nd 0.000 2.141 6.240
Nd 1.854 1.070 3.378
C 0.000 0.000 4.809
```


# 7
LaNd2C: relaxed, GGA-PBE.

## Properties
D(E_F) = 14.827 states/eV/cell
distance to the lowest polymorph of the same formula = 46 meV/atom
E_tot = -5.91 eV per atom
DFT formation energy = 0.02 eV per atom
space-group type = R-3m (166)

```
12
Lattice="3.647 0.000 0.000 -1.823 3.158 0.000 0.000 0.000 30.688" Properties=species:S:1:pos:R:3 pbc="T T T"
La 0.000 0.000 0.000
La 0.000 2.105 20.459
La 1.823 1.053 10.229
Nd 0.000 0.000 3.691
Nd 0.000 0.000 26.998
Nd 0.000 2.105 16.768
Nd 0.000 2.105 24.149
Nd 1.823 1.053 6.539
Nd 1.823 1.053 13.920
C 0.000 0.000 15.344
C 0.000 2.105 5.115
C 1.823 1.053 25.573
```


# 8
La2NdC: relaxed, GGA-PBE.

## Properties
D(E_F) = 9.296 states/eV/cell
distance to the lowest polymorph of the same formula = 0 meV/atom
E_tot = -5.98 eV per atom
DFT formation energy = -0.02 eV per atom
space-group type = Immm (71)

```
8
Lattice="3.695 0.000 0.000 0.000 5.291 0.000 0.000 0.000 12.336" Properties=species:S:1:pos:R:3 pbc="T T T"
La 0.000 0.000 1.783
La 0.000 0.000 10.553
La 1.848 2.646 4.385
La 1.848 2.646 7.951
Nd 0.000 0.000 6.168
Nd 1.848 2.646 0.000
C 0.000 2.646 6.168
C 1.848 0.000 0.000
```